# 1
# GGA-PBE BaSrAs2Br, relaxed
data_BaSrAs2Br
_chemical_formula_sum 'Ba1 Sr1 As2 Br1'
_symmetry_space_group_name_H-M 'P 4/m m m'
_symmetry_Int_Tables_number 123
_symmetry_space_group_name_Hall '-P 4 2'
_cell_length_a 5.739
_cell_length_b 5.739
_cell_length_c 6.078
_cell_angle_alpha 90.00
_cell_angle_beta 90.00
_cell_angle_gamma 90.00
loop_
_atom_site_label
_atom_site_type_symbol
_atom_site_fract_x
_atom_site_fract_y
_atom_site_fract_z
Ba1 Ba 0.000 0.000 0.000
Sr1 Sr 0.500 0.500 0.500
As1 As 0.000 0.500 0.000
Br1 Br 0.000 0.000 0.500
# * offset from the most stable computed form: 0.270 eV/atom
# * formation energy from raw total energies: -0.32 eV/atom
# * M_tot: 0.0 μB per formula unit
# * crystal system: tetragonal

***

# 2
# GGA-PBE Pu5Ir2Pt, relaxed
data_Pu5Ir2Pt
_chemical_formula_sum 'Pu10 Ir4 Pt2'
_symmetry_space_group_name_H-M 'I 4 m m'
_symmetry_Int_Tables_number 107
_symmetry_space_group_name_Hall 'I 4 -2'
_cell_length_a 6.828
_cell_length_b 6.828
_cell_length_c 6.933
_cell_angle_alpha 90.00
_cell_angle_beta 90.00
_cell_angle_gamma 90.00
loop_
_atom_site_label
_atom_site_type_symbol
_atom_site_fract_x
_atom_site_fract_y
_atom_site_fract_z
Pu1 Pu 0.000 0.000 0.000
Pu2 Pu 0.242 0.242 0.819
Ir1 Ir 0.000 0.500 0.083
Pt1 Pt 0.000 0.000 0.529
# * formation energy: -0.36 eV per atom
# * offset from the most stable computed form: 0.139 eV/atom
# * M_tot: 13.6 μB per formula unit
# * crystal system: tetragonal

***

# 3
# GGA-PBE Mg5Au3, relaxed
data_Mg5Au3
_chemical_formula_sum 'Mg20 Au12'
_symmetry_space_group_name_H-M 'C m c m'
_symmetry_Int_Tables_number 63
_symmetry_space_group_name_Hall '-C 2c 2'
_cell_length_a 13.881
_cell_length_b 8.006
_cell_length_c 5.677
_cell_angle_alpha 90.00
_cell_angle_beta 90.00
_cell_angle_gamma 90.00
loop_
_atom_site_label
_atom_site_type_symbol
_atom_site_fract_x
_atom_site_fract_y
_atom_site_fract_z
Mg1 Mg 0.000 0.246 0.250
Mg2 Mg 0.127 0.372 0.750
Mg3 Mg 0.167 0.000 0.000
Au1 Au 0.000 0.112 0.750
Au2 Au 0.194 0.306 0.250
# * formation energy: -0.53 eV per atom
# * offset from the most stable computed form: 0.001 eV/atom
# * M_tot: 0.0 μB per formula unit
# * crystal system: orthorhombic

***

# 4
# GGA-PBE KDy2Se, relaxed
data_KDy2Se
_chemical_formula_sum 'K3 Dy6 Se3'
_symmetry_space_group_name_H-M 'R -3 m'
_symmetry_Int_Tables_number 166
_symmetry_space_group_name_Hall '-R 3 2"'
_cell_length_a 3.8705
_cell_length_b 3.8705
_cell_length_c 33.0791
_cell_angle_alpha 90.00
_cell_angle_beta 90.00
_cell_angle_gamma 120.00
loop_
_atom_site_label
_atom_site_type_symbol
_atom_site_fract_x
_atom_site_fract_y
_atom_site_fract_z
K1 K 0.0000 0.0000 0.0000
Dy1 Dy 0.0000 0.0000 0.1148
Se1 Se 0.0000 0.0000 0.5000
# * formation energy from raw total energies: -0.56 eV/atom
# * M_tot: 0.0 μB per formula unit
# * crystal system: trigonal

***

# 5
# GGA-PBE ErPtRh4, relaxed
data_ErPtRh4
_chemical_formula_sum 'Er4 Pt4 Rh16'
_symmetry_space_group_name_H-M 'F -4 3 m'
_symmetry_Int_Tables_number 216
_symmetry_space_group_name_Hall 'F -4 2 3'
_cell_length_a 7.349
_cell_length_b 7.349
_cell_length_c 7.349
_cell_angle_alpha 90.00
_cell_angle_beta 90.00
_cell_angle_gamma 90.00
loop_
_atom_site_label
_atom_site_type_symbol
_atom_site_fract_x
_atom_site_fract_y
_atom_site_fract_z
Er1 Er 0.000 0.000 0.000
Pt1 Pt 0.250 0.250 0.250
Rh1 Rh 0.124 0.124 0.624
# * formation energy: -0.30 eV per atom
# * M_tot: 0.0 μB per formula unit
# * crystal system: cubic

***

# 6
# GGA-PBE Gd2NiOs, relaxed
data_Gd2NiOs
_chemical_formula_sum 'Gd2 Ni1 Os1'
_symmetry_space_group_name_H-M 'P 4/m m m'
_symmetry_Int_Tables_number 123
_symmetry_space_group_name_Hall '-P 4 2'
_cell_length_a 3.410
_cell_length_b 3.410
_cell_length_c 6.935
_cell_angle_alpha 90.00
_cell_angle_beta 90.00
_cell_angle_gamma 90.00
loop_
_atom_site_label
_atom_site_type_symbol
_atom_site_fract_x
_atom_site_fract_y
_atom_site_fract_z
Gd1 Gd 0.000 0.000 0.248
Ni1 Ni 0.500 0.500 0.500
Os1 Os 0.500 0.500 0.000
# * formation energy: -0.22 eV per atom
# * M_tot: 14.1 μB per formula unit
# * crystal system: tetragonal

***

# 7
# GGA-PBE K3TeSe4, relaxed
data_K3TeSe4
_chemical_formula_sum 'K6 Te2 Se8'
_symmetry_space_group_name_H-M 'I -4 3 m'
_symmetry_Int_Tables_number 217
_symmetry_space_group_name_Hall 'I -4 2 3'
_cell_length_a 8.134
_cell_length_b 8.134
_cell_length_c 8.134
_cell_angle_alpha 90.00
_cell_angle_beta 90.00
_cell_angle_gamma 90.00
loop_
_atom_site_label
_atom_site_type_symbol
_atom_site_fract_x
_atom_site_fract_y
_atom_site_fract_z
K1 K 0.000 0.000 0.500
Te1 Te 0.000 0.000 0.000
Se1 Se 0.186 0.186 0.186
# * formation energy from raw total energies: -0.69 eV/atom
# * M_tot: 0.1 μB per formula unit
# * crystal system: cubic

***

# 8
# GGA-PBE Na5B7C3, relaxed
data_Na5B7C3
_chemical_formula_sum 'Na10 B14 C6'
_symmetry_space_group_name_H-M 'P 1'
_symmetry_Int_Tables_number 1
_symmetry_space_group_name_Hall 'P 1'
_cell_length_a 5.018
_cell_length_b 7.689
_cell_length_c 9.054
_cell_angle_alpha 72.31
_cell_angle_beta 89.99
_cell_angle_gamma 70.96
loop_
_atom_site_label
_atom_site_type_symbol
_atom_site_fract_x
_atom_site_fract_y
_atom_site_fract_z
Na1 Na 0.000 0.000 0.000
Na2 Na 0.099 0.800 0.503
Na3 Na 0.199 0.600 0.000
Na4 Na 0.300 0.398 0.504
Na5 Na 0.399 0.201 0.998
Na6 Na 0.500 0.998 0.502
Na7 Na 0.600 0.799 0.002
Na8 Na 0.701 0.600 0.501
Na9 Na 0.801 0.399 0.001
Na10 Na 0.901 0.199 0.501
B1 B 0.071 0.501 0.751
B2 B 0.138 0.114 0.251
B3 B 0.273 0.098 0.750
B4 B 0.320 0.688 0.251
B5 B 0.368 0.901 0.251
B6 B 0.413 0.501 0.751
B7 B 0.489 0.708 0.753
B8 B 0.509 0.311 0.251
B9 B 0.615 0.097 0.750
B10 B 0.703 0.300 0.749
B11 B 0.753 0.884 0.252
B12 B 0.770 0.097 0.251
B13 B 0.899 0.889 0.752
B14 B 0.913 0.499 0.251
C1 C 0.013 0.300 0.749
C2 C 0.173 0.309 0.251
C3 C 0.216 0.899 0.752
C4 C 0.578 0.499 0.251
C5 C 0.816 0.698 0.753
C6 C 0.983 0.689 0.252
# * formation energy: 0.15 eV per atom
# * offset from the most stable computed form: 0.036 eV/atom
# * M_tot: 0.0 μB per formula unit
# * crystal system: triclinic

***

# 9
# GGA-PBE SmHoMnZn, relaxed
data_SmHoMnZn
_chemical_formula_sum 'Sm4 Ho4 Mn4 Zn4'
_symmetry_space_group_name_H-M 'F -4 3 m'
_symmetry_Int_Tables_number 216
_symmetry_space_group_name_Hall 'F -4 2 3'
_cell_length_a 7.152
_cell_length_b 7.152
_cell_length_c 7.152
_cell_angle_alpha 90.00
_cell_angle_beta 90.00
_cell_angle_gamma 90.00
loop_
_atom_site_label
_atom_site_type_symbol
_atom_site_fract_x
_atom_site_fract_y
_atom_site_fract_z
Sm1 Sm 0.000 0.000 0.000
Ho1 Ho 0.000 0.000 0.500
Mn1 Mn 0.250 0.250 0.250
Zn1 Zn 0.250 0.250 0.750
# * formation energy: -0.03 eV per atom
# * M_tot: 3.0 μB per formula unit
# * crystal system: cubic

***

# 10
# GGA-PBE Ce12Ga6Si, relaxed
data_Ce12Ga6Si
_chemical_formula_sum 'Ce36 Ga18 Si3'
_symmetry_space_group_name_H-M 'R -3'
_symmetry_Int_Tables_number 148
_symmetry_space_group_name_Hall '-R 3'
_cell_length_a 10.6916
_cell_length_b 10.6916
_cell_length_c 13.6766
_cell_angle_alpha 90.00
_cell_angle_beta 90.00
_cell_angle_gamma 120.00
loop_
_atom_site_label
_atom_site_type_symbol
_atom_site_fract_x
_atom_site_fract_y
_atom_site_fract_z
Ce1 Ce 0.0572 0.1873 0.3080
Ce2 Ce 0.0654 0.8419 0.9355
Ga1 Ga 0.0439 0.4467 0.1983
Si1 Si 0.0000 0.0000 0.5000
# * formation energy from raw total energies: -0.27 eV/atom
# * M_tot: 7.4 μB per formula unit
# * crystal system: trigonal

***

# 11
# GGA-PBE PrNdGd2, relaxed
data_PrNdGd2
_chemical_formula_sum 'Pr1 Nd1 Gd2'
_symmetry_space_group_name_H-M 'P 4/m m m'
_symmetry_Int_Tables_number 123
_symmetry_space_group_name_Hall '-P 4 2'
_cell_length_a 3.647
_cell_length_b 3.647
_cell_length_c 10.253
_cell_angle_alpha 90.00
_cell_angle_beta 90.00
_cell_angle_gamma 90.00
loop_
_atom_site_label
_atom_site_type_symbol
_atom_site_fract_x
_atom_site_fract_y
_atom_site_fract_z
Pr1 Pr 0.000 0.000 0.000
Nd1 Nd 0.000 0.000 0.500
Gd1 Gd 0.500 0.500 0.251
# * formation energy: 0.02 eV per atom
# * offset from the most stable computed form: 0.003 eV/atom
# * M_tot: 14.6 μB per formula unit
# * crystal system: tetragonal

***

# 12
# GGA-PBE Th3Bi2H, relaxed
data_Th3Bi2H
_chemical_formula_sum 'Th12 Bi8 H4'
_symmetry_space_group_name_H-M 'C m c m'
_symmetry_Int_Tables_number 63
_symmetry_space_group_name_Hall '-C 2c 2'
_cell_length_a 11.600
_cell_length_b 8.961
_cell_length_c 6.439
_cell_angle_alpha 90.00
_cell_angle_beta 90.00
_cell_angle_gamma 90.00
loop_
_atom_site_label
_atom_site_type_symbol
_atom_site_fract_x
_atom_site_fract_y
_atom_site_fract_z
Th1 Th 0.000 0.152 0.250
Th2 Th 0.150 0.500 0.000
Bi1 Bi 0.143 0.175 0.750
H1 H 0.000 0.418 0.250
# * energy: -35.0 eV/f.u.
# * M_tot: 0.0 μB per formula unit
# * crystal system: orthorhombic